(1)
# Li2VF6 PBEsol relaxed
data_Li2VF6
_chemical_formula_sum 'Li2 V1 F6'
_symmetry_space_group_name_H-M 'P 1'
_symmetry_Int_Tables_number 1
_symmetry_space_group_name_Hall 'P 1'
_cell_length_a 5.0481
_cell_length_b 5.4713
_cell_length_c 5.4763
_cell_angle_alpha 60.50
_cell_angle_beta 68.96
_cell_angle_gamma 69.11
loop_
_atom_site_label
_atom_site_type_symbol
_atom_site_fract_x
_atom_site_fract_y
_atom_site_fract_z
_atom_site_occupancy
Li1 Li 0.1117 0.2507 0.2505 1
Li2 Li 0.8883 0.7493 0.7495 1
V1 V 0.5000 0.5000 0.5000 1
F1 F 0.2197 0.3837 0.8433 1
F2 F 0.2208 0.8433 0.3851 1
F3 F 0.3609 0.3534 0.3518 1
F4 F 0.6391 0.6466 0.6482 1
F5 F 0.7792 0.1567 0.6149 1
F6 F 0.7803 0.6163 0.1567 1
# crystal system = triclinic
# formation energy from raw total energies = -2.927 eV/atom
# offset from the most stable computed form = 0.13 eV/f.u.

(2)
# ZnTcCl2 PBEsol relaxed
data_ZnTcCl2
_chemical_formula_sum 'Zn3 Tc3 Cl6'
_symmetry_space_group_name_H-M 'P 1'
_symmetry_Int_Tables_number 1
_symmetry_space_group_name_Hall 'P 1'
_cell_length_a 2.8915
_cell_length_b 2.8915
_cell_length_c 29.3379
_cell_angle_alpha 90.00
_cell_angle_beta 90.00
_cell_angle_gamma 120.00
loop_
_atom_site_label
_atom_site_type_symbol
_atom_site_fract_x
_atom_site_fract_y
_atom_site_fract_z
_atom_site_occupancy
Zn1 Zn 0.0000 0.0000 0.0000 1
Zn2 Zn 0.3333 0.6667 0.6667 1
Zn3 Zn 0.6667 0.3333 0.3333 1
Tc1 Tc 0.0000 0.0000 0.5000 1
Tc2 Tc 0.3333 0.6667 0.1667 1
Tc3 Tc 0.6667 0.3333 0.8333 1
Cl1 Cl 0.0000 0.0000 0.4249 1
Cl2 Cl 0.0000 0.0000 0.5751 1
Cl3 Cl 0.3333 0.6667 0.0915 1
Cl4 Cl 0.3333 0.6667 0.2418 1
Cl5 Cl 0.6667 0.3333 0.7582 1
Cl6 Cl 0.6667 0.3333 0.9085 1
# crystal system = trigonal
# formation energy from raw total energies = 0.115 eV/atom
# offset from the most stable computed form = 1.02 eV/f.u.

(3)
# BeNbSi3 PBEsol relaxed
data_BeNbSi3
_chemical_formula_sum 'Be1 Nb1 Si3'
_symmetry_space_group_name_H-M 'P 1'
_symmetry_Int_Tables_number 1
_symmetry_space_group_name_Hall 'P 1'
_cell_length_a 4.8233
_cell_length_b 4.8233
_cell_length_c 4.8233
_cell_angle_alpha 90.00
_cell_angle_beta 90.00
_cell_angle_gamma 90.00
loop_
_atom_site_label
_atom_site_type_symbol
_atom_site_fract_x
_atom_site_fract_y
_atom_site_fract_z
_atom_site_occupancy
Be1 Be 0.0000 0.0000 0.0000 1
Nb1 Nb 0.5000 0.5000 0.5000 1
Si1 Si 0.0000 0.5000 0.5000 1
Si2 Si 0.5000 0.0000 0.5000 1
Si3 Si 0.5000 0.5000 0.0000 1
# crystal system = cubic
# formation energy from raw total energies = 1.144 eV/atom

(4)
# KBiSb2Te PBEsol relaxed
data_KBiSb2Te
_chemical_formula_sum 'K1 Bi1 Sb2 Te1'
_symmetry_space_group_name_H-M 'P 1'
_symmetry_Int_Tables_number 1
_symmetry_space_group_name_Hall 'P 1'
_cell_length_a 5.8698
_cell_length_b 5.8698
_cell_length_c 5.9964
_cell_angle_alpha 90.00
_cell_angle_beta 90.00
_cell_angle_gamma 90.00
loop_
_atom_site_label
_atom_site_type_symbol
_atom_site_fract_x
_atom_site_fract_y
_atom_site_fract_z
_atom_site_occupancy
K1 K 0.0000 0.0000 0.0000 1
Bi1 Bi 0.5000 0.5000 0.5000 1
Sb1 Sb 0.0000 0.5000 0.5000 1
Sb2 Sb 0.5000 0.0000 0.5000 1
Te1 Te 0.5000 0.5000 0.0000 1
# crystal system = tetragonal
# formation energy from raw total energies = 0.324 eV/atom

(5)
# SiP2Rh PBEsol relaxed
data_SiP2Rh
_chemical_formula_sum 'Si4 P8 Rh4'
_symmetry_space_group_name_H-M 'P 1'
_symmetry_Int_Tables_number 1
_symmetry_space_group_name_Hall 'P 1'
_cell_length_a 5.2039
_cell_length_b 5.2039
_cell_length_c 10.4301
_cell_angle_alpha 90.00
_cell_angle_beta 90.00
_cell_angle_gamma 90.00
loop_
_atom_site_label
_atom_site_type_symbol
_atom_site_fract_x
_atom_site_fract_y
_atom_site_fract_z
_atom_site_occupancy
Si1 Si 0.0000 0.0000 0.0000 1
Si2 Si 0.0000 0.5000 0.2500 1
Si3 Si 0.5000 0.0000 0.7500 1
Si4 Si 0.5000 0.5000 0.5000 1
P1 P 0.2471 0.2500 0.6250 1
P2 P 0.2500 0.7471 0.8750 1
P3 P 0.2500 0.7529 0.3750 1
P4 P 0.2529 0.2500 0.1250 1
P5 P 0.7471 0.7500 0.1250 1
P6 P 0.7500 0.2471 0.3750 1
P7 P 0.7500 0.2529 0.8750 1
P8 P 0.7529 0.7500 0.6250 1
Rh1 Rh 0.0000 0.0000 0.5000 1
Rh2 Rh 0.0000 0.5000 0.7500 1
Rh3 Rh 0.5000 0.0000 0.2500 1
Rh4 Rh 0.5000 0.5000 0.0000 1
# crystal system = tetragonal
# formation energy from raw total energies = -0.289 eV/atom

(6)
# AgP2SBr PBEsol relaxed
data_AgP2SBr
_chemical_formula_sum 'Ag1 P2 S1 Br1'
_symmetry_space_group_name_H-M 'P 1'
_symmetry_Int_Tables_number 1
_symmetry_space_group_name_Hall 'P 1'
_cell_length_a 4.8492
_cell_length_b 4.8492
_cell_length_c 4.6356
_cell_angle_alpha 90.00
_cell_angle_beta 90.00
_cell_angle_gamma 90.00
loop_
_atom_site_label
_atom_site_type_symbol
_atom_site_fract_x
_atom_site_fract_y
_atom_site_fract_z
_atom_site_occupancy
Ag1 Ag 0.0000 0.0000 0.0000 1
P1 P 0.0000 0.5000 0.0000 1
P2 P 0.5000 0.0000 0.0000 1
S1 S 0.0000 0.0000 0.5000 1
Br1 Br 0.5000 0.5000 0.5000 1
# crystal system = tetragonal
# formation energy from raw total energies = 1.105 eV/atom

(7)
# CdOsBr2 PBEsol relaxed
data_CdOsBr2
_chemical_formula_sum 'Cd2 Os2 Br4'
_symmetry_space_group_name_H-M 'P 1'
_symmetry_Int_Tables_number 1
_symmetry_space_group_name_Hall 'P 1'
_cell_length_a 3.0217
_cell_length_b 4.6154
_cell_length_c 12.4233
_cell_angle_alpha 90.00
_cell_angle_beta 90.00
_cell_angle_gamma 90.00
loop_
_atom_site_label
_atom_site_type_symbol
_atom_site_fract_x
_atom_site_fract_y
_atom_site_fract_z
_atom_site_occupancy
Cd1 Cd 0.0000 0.0000 0.0000 1
Cd2 Cd 0.5000 0.5000 0.5000 1
Os1 Os 0.0000 0.5000 0.6877 1
Os2 Os 0.5000 0.0000 0.1877 1
Br1 Br 0.0000 0.0000 0.3551 1
Br2 Br 0.0000 0.5000 0.1728 1
Br3 Br 0.5000 0.0000 0.6728 1
Br4 Br 0.5000 0.5000 0.8551 1
# crystal system = orthorhombic
# formation energy from raw total energies = 0.612 eV/atom
# offset from the most stable computed form = 0.59 eV/f.u.

(8)
# TlTePb2 PBEsol relaxed
data_TlTePb2
_chemical_formula_sum 'Tl1 Te1 Pb2'
_symmetry_space_group_name_H-M 'P 1'
_symmetry_Int_Tables_number 1
_symmetry_space_group_name_Hall 'P 1'
_cell_length_a 3.3528
_cell_length_b 5.6550
_cell_length_c 6.5080
_cell_angle_alpha 90.00
_cell_angle_beta 104.78
_cell_angle_gamma 90.00
loop_
_atom_site_label
_atom_site_type_symbol
_atom_site_fract_x
_atom_site_fract_y
_atom_site_fract_z
_atom_site_occupancy
Tl1 Tl 0.0000 0.0000 0.0000 1
Te1 Te 0.4254 0.5000 0.8468 1
Pb1 Pb 0.2511 0.0000 0.5197 1
Pb2 Pb 0.6650 0.5000 0.3400 1
# crystal system = monoclinic
# formation energy from raw total energies = -0.060 eV/atom
# offset from the most stable computed form = 0.07 eV/f.u.

(9)
# YCu2Os PBEsol relaxed
data_YCu2Os
_chemical_formula_sum 'Y1 Cu2 Os1'
_symmetry_space_group_name_H-M 'P 1'
_symmetry_Int_Tables_number 1
_symmetry_space_group_name_Hall 'P 1'
_cell_length_a 3.3125
_cell_length_b 3.3125
_cell_length_c 5.6779
_cell_angle_alpha 90.00
_cell_angle_beta 90.00
_cell_angle_gamma 90.00
loop_
_atom_site_label
_atom_site_type_symbol
_atom_site_fract_x
_atom_site_fract_y
_atom_site_fract_z
_atom_site_occupancy
Y1 Y 0.0000 0.0000 0.0000 1
Cu1 Cu 0.5000 0.5000 0.2913 1
Cu2 Cu 0.5000 0.5000 0.7087 1
Os1 Os 0.0000 0.0000 0.5000 1
# crystal system = tetragonal

(10)
# Zn3TcH PBEsol relaxed
data_Zn3TcH
_chemical_formula_sum 'Zn3 Tc1 H1'
_symmetry_space_group_name_H-M 'P 1'
_symmetry_Int_Tables_number 1
_symmetry_space_group_name_Hall 'P 1'
_cell_length_a 4.8420
_cell_length_b 4.8420
_cell_length_c 4.8420
_cell_angle_alpha 90.00
_cell_angle_beta 90.00
_cell_angle_gamma 90.00
loop_
_atom_site_label
_atom_site_type_symbol
_atom_site_fract_x
_atom_site_fract_y
_atom_site_fract_z
_atom_site_occupancy
Zn1 Zn 0.0000 0.0000 0.5000 1
Zn2 Zn 0.0000 0.5000 0.0000 1
Zn3 Zn 0.5000 0.0000 0.0000 1
Tc1 Tc 0.0000 0.0000 0.0000 1
H1 H 0.5000 0.5000 0.5000 1
# crystal system = cubic

(11)
# TlFe2Ru PBEsol relaxed
data_TlFe2Ru
_chemical_formula_sum 'Tl2 Fe4 Ru2'
_symmetry_space_group_name_H-M 'P 1'
_symmetry_Int_Tables_number 1
_symmetry_space_group_name_Hall 'P 1'
_cell_length_a 3.8717
_cell_length_b 3.8717
_cell_length_c 7.6218
_cell_angle_alpha 90.00
_cell_angle_beta 90.00
_cell_angle_gamma 90.00
loop_
_atom_site_label
_atom_site_type_symbol
_atom_site_fract_x
_atom_site_fract_y
_atom_site_fract_z
_atom_site_occupancy
Tl1 Tl 0.0000 0.0000 0.0000 1
Tl2 Tl 0.5000 0.5000 0.5000 1
Fe1 Fe 0.0000 0.0000 0.5000 1
Fe2 Fe 0.0000 0.5000 0.2500 1
Fe3 Fe 0.5000 0.0000 0.7500 1
Fe4 Fe 0.5000 0.5000 0.0000 1
Ru1 Ru 0.0000 0.5000 0.7500 1
Ru2 Ru 0.5000 0.0000 0.2500 1
# crystal system = tetragonal
# offset from the most stable computed form = 0.00 eV/f.u.

(12)
# Ag2Pt PBEsol relaxed
data_Ag2Pt
_chemical_formula_sum 'Ag8 Pt4'
_symmetry_space_group_name_H-M 'P 1'
_symmetry_Int_Tables_number 1
_symmetry_space_group_name_Hall 'P 1'
_cell_length_a 5.6324
_cell_length_b 5.6612
_cell_length_c 7.3963
_cell_angle_alpha 68.29
_cell_angle_beta 79.44
_cell_angle_gamma 60.34
loop_
_atom_site_label
_atom_site_type_symbol
_atom_site_fract_x
_atom_site_fract_y
_atom_site_fract_z
_atom_site_occupancy
Ag1 Ag 0.0000 0.0000 0.0000 1
Ag2 Ag 0.1622 0.3379 0.6651 1
Ag3 Ag 0.1619 0.8368 0.6668 1
Ag4 Ag 0.3357 0.1640 0.3310 1
Ag5 Ag 0.5000 0.0000 0.0000 1
Ag6 Ag 0.6643 0.8360 0.6690 1
Ag7 Ag 0.8381 0.1632 0.3332 1
Ag8 Ag 0.8378 0.6621 0.3349 1
Pt1 Pt 0.0000 0.5000 0.0000 1
Pt2 Pt 0.3444 0.6557 0.3332 1
Pt3 Pt 0.5000 0.5000 0.0000 1
Pt4 Pt 0.6556 0.3443 0.6668 1
# crystal system = triclinic
# offset from the most stable computed form = 0.07 eV/f.u.

| no. | final energy (hartree per atom) |
| --- | --- |
| 1 | -0.2102 |
| 2 | -0.1507 |
| 3 | -0.1936 |
| 4 | -0.1208 |
| 5 | -0.2446 |
| 6 | -0.1148 |
| 7 | -0.1351 |
| 8 | -0.1323 |
| 9 | -0.2472 |
| 10 | -0.0908 |
| 11 | -0.2641 |
| 12 | -0.1658 |